TlCuBr2: relaxed, GGA-PBE.

abc: 6.651 6.651 5.914
angles: 100.35 100.35 33.24
Positions (direct):
Tl  0.000  0.000  0.000
Cu  0.150  0.150  0.690
Br  0.542  0.542  0.437
Br  0.744  0.744  0.917

Output
Raw formation energy: -0.43 eV per atom
Energy above the most stable polymorph in this dataset: 0.1150 eV/atom

---

Li2TmMg5: relaxed, GGA-PBE.

abc: 8.303 8.303 8.303
angles: 124.46 124.46 82.43
Positions (direct):
Li  0.153  0.653  0.806
Li  0.347  0.153  0.500
Li  0.653  0.847  0.500
Li  0.847  0.347  0.194
Tm  0.250  0.250  0.000
Tm  0.750  0.750  0.000
Mg  0.000  0.000  0.000
Mg  0.004  0.798  0.500
Mg  0.202  0.702  0.206
Mg  0.298  0.504  0.500
Mg  0.496  0.996  0.794
Mg  0.500  0.500  0.000
Mg  0.504  0.004  0.206
Mg  0.702  0.496  0.500
Mg  0.798  0.298  0.794
Mg  0.996  0.202  0.500

Output
Formation energy from the elements: 69 meV per atom
Density of states at the Fermi level: 4.0 states/eV/f.u.

---

PmPd2Pt3: relaxed, GGA-PBE.

abc: 5.353 5.353 4.479
angles: 90.00 90.00 119.63
Positions (direct):
Pm  0.000  0.000  0.000
Pd  0.334  0.666  0.000
Pd  0.666  0.334  0.000
Pt  0.000  0.500  0.500
Pt  0.500  0.000  0.500
Pt  0.500  0.500  0.500

Output
Formation energy from the elements: -665 meV per atom
Density of states at the Fermi level: 4.6 states/eV/f.u.

---

Number 1: magnetization 0.000 μB/atom, uncorrected energy -2.88 eV/atom. Number 2: magnetization 0.000 μB/atom, uncorrected energy -1.97 eV/atom. Number 3: magnetization 0.000 μB/atom, uncorrected energy -6.21 eV/atom.